This record from Alexandria describes a relaxed Li3Fe2Co2O8 crystal. The functional is GGA-PBEsol.

Geometry as POSCAR:
```
Li3Fe2Co2O8
1.0
4.863 -2.774 0.000
4.863 2.774 0.000
-3.245 0.000 4.627
Li Fe Co O
3 2 2 8
Direct
0.000 0.000 0.000
0.000 0.500 0.500
0.500 0.000 0.500
0.000 0.500 0.000
0.500 0.000 0.000
0.500 0.500 0.000
0.500 0.500 0.500
0.260 0.260 0.244
0.260 0.714 0.235
0.263 0.263 0.784
0.286 0.740 0.765
0.714 0.260 0.235
0.737 0.737 0.216
0.740 0.286 0.765
0.740 0.740 0.756
```

Summary:
E_form (uncorrected) in eV per atom: -1.484
Final energy in eV/cell: -103.55


This record from Alexandria describes a relaxed Li4Fe3CoO8 crystal. The functional is GGA-PBEsol.

Geometry as POSCAR:
```
Li4Fe3CoO8
1.0
4.919 -2.799 0.000
4.919 2.799 0.000
-1.602 0.000 4.598
Li Fe Co O
4 3 1 8
Direct
0.000 0.500 0.000
0.247 0.247 0.496
0.500 0.000 0.000
0.753 0.753 0.504
0.258 0.742 0.500
0.500 0.500 0.000
0.742 0.258 0.500
0.000 0.000 0.000
0.107 0.107 0.735
0.141 0.639 0.760
0.361 0.859 0.240
0.384 0.384 0.252
0.616 0.616 0.748
0.639 0.141 0.760
0.859 0.361 0.240
0.893 0.893 0.265
```

Summary:
E_form (uncorrected) in eV per atom: -1.572
Final energy in eV/cell: -109.65


This record from Alexandria describes a relaxed Li2FeCo3O8 crystal. The functional is GGA-PBEsol.

Geometry as POSCAR:
```
Li2FeCo3O8
1.0
2.807 1.621 4.635
-2.807 1.621 4.635
0.000 -3.241 4.635
Li Fe Co O
2 1 3 8
Direct
0.000 0.000 0.000
0.375 0.375 0.375
0.760 0.760 0.760
0.376 0.376 0.886
0.376 0.886 0.376
0.886 0.376 0.376
0.128 0.128 0.588
0.128 0.588 0.128
0.142 0.142 0.142
0.158 0.627 0.627
0.588 0.128 0.128
0.618 0.618 0.618
0.627 0.158 0.627
0.627 0.627 0.158
```

Summary:
E_form (uncorrected) in eV per atom: -1.311
Excess energy over the best structure of this formula in the dataset in meV/atom: 92
Final energy in eV/cell: -96.46


This record from Alexandria describes a relaxed Li4FeCo9O20 crystal. The functional is GGA-PBEsol.

Geometry as POSCAR:
```
Li4FeCo9O20
1.0
4.804 0.000 0.000
2.396 6.950 0.000
0.628 1.214 9.653
Li Fe Co O
4 1 9 20
Direct
0.000 0.000 0.000
0.203 0.538 0.005
0.491 0.498 0.504
0.707 0.045 0.507
0.645 0.915 0.252
0.050 0.121 0.256
0.149 0.419 0.751
0.248 0.722 0.255
0.350 0.022 0.753
0.451 0.318 0.253
0.551 0.625 0.756
0.748 0.224 0.755
0.849 0.521 0.254
0.952 0.820 0.753
0.016 0.041 0.656
0.078 0.202 0.853
0.119 0.340 0.156
0.183 0.502 0.351
0.228 0.635 0.655
0.273 0.808 0.856
0.313 0.941 0.152
0.389 0.098 0.354
0.427 0.237 0.650
0.472 0.409 0.852
0.515 0.538 0.157
0.575 0.700 0.357
0.622 0.842 0.655
0.684 0.003 0.851
0.728 0.130 0.155
0.775 0.304 0.355
0.811 0.442 0.655
0.889 0.601 0.852
0.925 0.737 0.149
0.966 0.906 0.353
```

Summary:
E_form (uncorrected) in eV per atom: -1.270
Final energy in eV/cell: -234.63


This record from Alexandria describes a relaxed Li4Fe3Co2Sb3O16 crystal. The functional is GGA-PBEsol.

Geometry as POSCAR:
```
Li4Fe3Co2Sb3O16
1.0
5.125 -2.958 0.000
5.125 2.958 0.000
-0.155 0.000 9.229
Li Fe Co Sb O
4 3 2 3 16
Direct
0.000 0.000 0.000
0.219 0.219 0.100
0.539 0.539 0.564
0.899 0.899 0.454
0.042 0.042 0.746
0.215 0.705 0.240
0.705 0.215 0.240
0.201 0.201 0.457
0.534 0.534 0.976
0.039 0.536 0.756
0.536 0.039 0.756
0.709 0.709 0.240
0.043 0.043 0.338
0.052 0.553 0.352
0.196 0.722 0.863
0.197 0.197 0.870
0.349 0.908 0.628
0.358 0.358 0.626
0.382 0.832 0.111
0.401 0.401 0.118
0.540 0.540 0.349
0.553 0.052 0.352
0.701 0.701 0.870
0.722 0.196 0.863
0.832 0.382 0.111
0.877 0.877 0.645
0.881 0.881 0.140
0.908 0.349 0.628
```

Summary:
E_form (uncorrected) in eV per atom: -1.393
Final energy in eV/cell: -186.91


This record from Alexandria describes a relaxed Li4Fe3Co3Sn2O16 crystal. The functional is GGA-PBEsol.

Geometry as POSCAR:
```
Li4Fe3Co3Sn2O16
1.0
4.947 -2.829 0.000
4.947 2.829 0.000
-0.018 0.000 9.449
Li Fe Co Sn O
4 3 3 2 16
Direct
0.000 0.000 0.000
0.000 0.000 0.499
0.335 0.335 0.897
0.668 0.668 0.402
0.177 0.652 0.220
0.652 0.177 0.220
0.830 0.830 0.720
0.167 0.167 0.220
0.339 0.831 0.720
0.831 0.339 0.720
0.331 0.331 0.500
0.666 0.666 0.997
0.033 0.484 0.334
0.154 0.154 0.608
0.154 0.686 0.612
0.314 0.838 0.111
0.329 0.329 0.113
0.484 0.033 0.334
0.486 0.486 0.341
0.515 0.970 0.835
0.517 0.517 0.835
0.668 0.668 0.617
0.686 0.154 0.612
0.838 0.314 0.111
0.843 0.843 0.111
0.970 0.515 0.835
0.997 0.997 0.310
0.999 0.999 0.811
```

Summary:
E_form (uncorrected) in eV per atom: -1.509
Final energy in eV/cell: -192.74


This record from Alexandria describes a relaxed Li4Ti2Fe3Co3O16 crystal. The functional is GGA-PBEsol.

Geometry as POSCAR:
```
Li4Ti2Fe3Co3O16
1.0
4.901 -2.804 0.000
4.901 2.804 0.000
-0.058 0.000 9.178
Li Ti Fe Co O
4 2 3 3 16
Direct
0.000 0.000 0.000
0.000 0.000 0.500
0.331 0.331 0.602
0.665 0.665 0.106
0.336 0.336 0.003
0.671 0.671 0.500
0.172 0.172 0.280
0.348 0.823 0.781
0.823 0.348 0.781
0.170 0.661 0.282
0.661 0.170 0.282
0.832 0.832 0.783
0.002 0.002 0.191
0.002 0.002 0.692
0.037 0.482 0.162
0.164 0.164 0.895
0.170 0.669 0.896
0.330 0.839 0.395
0.333 0.333 0.387
0.480 0.480 0.162
0.482 0.037 0.162
0.516 0.516 0.658
0.519 0.960 0.664
0.669 0.170 0.896
0.671 0.671 0.892
0.835 0.835 0.398
0.839 0.330 0.395
0.960 0.519 0.664
```

Summary:
E_form (uncorrected) in eV per atom: -1.796
Final energy in eV/cell: -208.89


This record from Alexandria describes a relaxed Li4Ti3Fe2Co3O16 crystal. The functional is GGA-PBEsol.

Geometry as POSCAR:
```
Li4Ti3Fe2Co3O16
1.0
4.840 -2.860 0.000
4.840 2.860 0.000
-0.035 0.000 9.190
Li Ti Fe Co O
4 3 2 3 16
Direct
0.000 0.000 0.000
0.010 0.010 0.506
0.320 0.320 0.613
0.650 0.650 0.101
0.154 0.647 0.285
0.647 0.154 0.285
0.816 0.816 0.785
0.320 0.320 0.006
0.654 0.654 0.517
0.168 0.168 0.287
0.333 0.819 0.787
0.819 0.333 0.787
0.028 0.463 0.149
0.158 0.653 0.899
0.163 0.163 0.893
0.329 0.329 0.405
0.332 0.821 0.398
0.463 0.028 0.149
0.465 0.465 0.153
0.504 0.943 0.650
0.511 0.511 0.664
0.651 0.651 0.899
0.653 0.158 0.899
0.819 0.819 0.399
0.821 0.332 0.398
0.943 0.504 0.650
0.995 0.995 0.693
0.997 0.997 0.191
```

Summary:
E_form (uncorrected) in eV per atom: -1.946
Final energy in eV/cell: -212.44


Result set for magnetic moment: 3.029; 3.000; 2.966; 7.147; 5.002; 5.063; 5.050; 3.020 Bohr magnetons per cell, one per record in the order listed.